No. 1
DFT (PBE-GGA) results for a geometry-optimized FeMoAs2 structure.

ΔE to the lowest computed polymorph, meV/atom: 437
Formation energy from the elements, kJ/mol of formula units: 98
V, Å³/atom: 15.35

a = 3.6152 Å, b = 3.6152 Å, c = 9.3937 Å
α = 90.00°, β = 90.00°, γ = 90.00°
Space group I-4m2 (No. 119)
One atom of each set of equivalent atoms:
Fe  0.0000  0.0000  0.0000 (multiplicity 2)
Mo  0.0000  0.5000  0.7500 (multiplicity 2)
As  0.0000  0.0000  0.5000 (multiplicity 2)
As  0.0000  0.5000  0.2500 (multiplicity 2)

---

No. 2
DFT (PBE-GGA) results for a geometry-optimized NdHPd structure.

ΔE to the lowest computed polymorph, meV/atom: 0
V, Å³/atom: 16.82

a = 7.4617 Å, b = 4.4351 Å, c = 6.1003 Å
α = 90.00°, β = 90.00°, γ = 90.00°
Space group Pnma (No. 62)
One atom of each set of equivalent atoms:
Nd  0.1717  0.2500  0.1401 (multiplicity 4)
H  0.1390  0.7500  0.9681 (multiplicity 4)
Pd  0.0407  0.2500  0.6254 (multiplicity 4)

---

No. 3
DFT (PBE-GGA) results for a geometry-optimized K2CdPt structure.

ΔE to the lowest computed polymorph, meV/atom: 251
Formation energy from the elements, kJ/mol of formula units: 40
V, Å³/atom: 30.48

a = 3.1270 Å, b = 4.4088 Å, c = 8.8428 Å
α = 90.00°, β = 90.08°, γ = 90.00°
Space group P2/m (No. 10)
One atom of each set of equivalent atoms:
K  0.0000  0.0000  0.2065 (multiplicity 2)
Cd  0.5000  0.5000  0.5000 (multiplicity 1)
Pt  0.5000  0.5000  0.0000 (multiplicity 1)

---

No. 4
DFT (PBE-GGA) results for a geometry-optimized MgRe2W structure.

Formation energy from the elements, kJ/mol of formula units: 72
V, Å³/atom: 15.92

a = 3.1141 Å, b = 4.4819 Å, c = 9.1244 Å
α = 90.00°, β = 90.00°, γ = 90.00°
Space group Cmmm (No. 65)
One atom of each set of equivalent atoms:
Mg  0.0000  0.0000  0.0000 (multiplicity 2)
Re  0.0000  0.5000  0.2590 (multiplicity 4)
W  0.0000  0.0000  0.5000 (multiplicity 2)

---

No. 5
DFT (PBE-GGA) results for a geometry-optimized La5Tb structure.

ΔE to the lowest computed polymorph, meV/atom: 0
Formation energy from the elements, kJ/mol of formula units: 7
V, Å³/atom: 35.79

a = 5.2697 Å, b = 11.0903 Å, c = 7.3489 Å
α = 90.00°, β = 90.00°, γ = 90.00°
Space group Pmmn (No. 59, origin choice 2)
One atom of each set of equivalent atoms:
La  0.2500  0.0808  0.1240 (multiplicity 4)
La  0.2500  0.0833  0.6249 (multiplicity 4)
La  0.2500  0.7500  0.6271 (multiplicity 2)
Tb  0.2500  0.7500  0.1239 (multiplicity 2)

---

No. 6
DFT (PBE-GGA) results for a geometry-optimized LiPr2Al7 structure.

Formation energy from the elements, kJ/mol of formula units: -328
V, Å³/atom: 20.91

a = 4.3248 Å, b = 4.3248 Å, c = 11.1780 Å
α = 90.00°, β = 90.00°, γ = 90.00°
Space group P-4m2 (No. 115)
One atom of each set of equivalent atoms:
Li  0.0000  0.0000  0.0000 (multiplicity 1)
Pr  0.0000  0.5000  0.7449 (multiplicity 2)
Al  0.0000  0.0000  0.5000 (multiplicity 1)
Al  0.0000  0.5000  0.1345 (multiplicity 2)
Al  0.0000  0.5000  0.3611 (multiplicity 2)
Al  0.5000  0.5000  0.0000 (multiplicity 1)
Al  0.5000  0.5000  0.5000 (multiplicity 1)

---

No. 7
DFT (PBE-GGA) results for a geometry-optimized NaAc2MgCd6 structure.

Formation energy from the elements, kJ/mol of formula units: 83
V, Å³/atom: 29.73

a = 10.5951 Å, b = 10.5951 Å, c = 10.5951 Å
α = 90.00°, β = 90.00°, γ = 90.00°
Space group Fm-3m (No. 225)
One atom of each set of equivalent atoms:
Na  0.0000  0.0000  0.0000 (multiplicity 4)
Ac  0.2500  0.2500  0.2500 (multiplicity 8)
Mg  0.0000  0.0000  0.5000 (multiplicity 4)
Cd  0.0000  0.0000  0.2504 (multiplicity 24)

---

No. 8
DFT (PBE-GGA) results for a geometry-optimized Rb2GeTeSe structure.

Energy, eV/atom: -3.385
V, Å³/atom: 41.66

a = 9.2941 Å, b = 4.4697 Å, c = 10.2447 Å
α = 90.00°, β = 101.78°, γ = 90.00°
Space group P2_1/m (No. 11)
One atom of each set of equivalent atoms:
Rb  0.1493  0.2500  0.3952 (multiplicity 2)
Rb  0.2930  0.2500  0.9091 (multiplicity 2)
Ge  0.4828  0.7500  0.6262 (multiplicity 2)
Te  0.3704  0.7500  0.2110 (multiplicity 2)
Se  0.2302  0.7500  0.6561 (multiplicity 2)

---

No. 9
DFT (PBE-GGA) results for a geometry-optimized Ac5S7 structure.

Energy, eV/atom: -6.249
V, Å³/atom: 29.90

a = 14.2767 Å, b = 4.2041 Å, c = 12.4078 Å
α = 90.00°, β = 105.53°, γ = 90.00°
Space group C2/m (No. 12)
One atom of each set of equivalent atoms:
Ac  0.0000  0.0000  0.0000 (multiplicity 2)
Ac  0.1113  0.0000  0.4203 (multiplicity 4)
Ac  0.1990  0.5000  0.8107 (multiplicity 4)
S  0.0000  0.5000  0.5000 (multiplicity 2)
S  0.0470  0.0000  0.7852 (multiplicity 4)
S  0.1587  0.5000  0.0494 (multiplicity 4)
S  0.2389  0.5000  0.3520 (multiplicity 4)

---

No. 10
DFT (PBE-GGA) results for a geometry-optimized RbZr3B structure.

ΔE to the lowest computed polymorph, meV/atom: 0
Formation energy from the elements, kJ/mol of formula units: 331
V, Å³/atom: 23.60

a = 4.9046 Å, b = 4.9046 Å, c = 4.9046 Å
α = 90.00°, β = 90.00°, γ = 90.00°
Space group Pm-3m (No. 221)
One atom of each set of equivalent atoms:
Rb  0.0000  0.0000  0.0000 (multiplicity 1)
Zr  0.0000  0.5000  0.5000 (multiplicity 3)
B  0.5000  0.5000  0.5000 (multiplicity 1)

---

No. 11
DFT (PBE-GGA) results for a geometry-optimized Li2CeRh structure.

Formation energy from the elements, kJ/mol of formula units: 81
V, Å³/atom: 18.72

a = 2.8137 Å, b = 2.8137 Å, c = 32.7680 Å
α = 90.00°, β = 90.00°, γ = 120.00°
Space group R-3m (No. 166, hexagonal axes)
One atom of each set of equivalent atoms:
Li  0.0000  0.0000  0.0733 (multiplicity 6)
Ce  0.0000  0.0000  0.5000 (multiplicity 3)
Rh  0.0000  0.0000  0.0000 (multiplicity 3)

---

No. 12
DFT (PBE-GGA) results for a geometry-optimized Pr3Sm2Tm6 structure.

ΔE to the lowest computed polymorph, meV/atom: 64
Formation energy from the elements, kJ/mol of formula units: 278
V, Å³/atom: 34.12

a = 4.7605 Å, b = 4.7605 Å, c = 33.1223 Å
α = 90.00°, β = 90.00°, γ = 90.00°
Space group I4/mmm (No. 139)
One atom of each set of equivalent atoms:
Pr  0.0000  0.0000  0.0000 (multiplicity 2)
Pr  0.0000  0.0000  0.2055 (multiplicity 4)
Sm  0.0000  0.0000  0.4536 (multiplicity 4)
Tm  0.0000  0.0000  0.3097 (multiplicity 4)
Tm  0.0000  0.5000  0.1206 (multiplicity 8)

---

No. 13
DFT (PBE-GGA) results for a geometry-optimized Rb3Te2Au structure.

Energy, eV/atom: -2.889
V, Å³/atom: 49.10

a = 8.4289 Å, b = 13.9228 Å, c = 10.0408 Å
α = 90.00°, β = 90.00°, γ = 90.00°
Space group Ibam (No. 72)
One atom of each set of equivalent atoms:
Rb  0.0000  0.0000  0.2500 (multiplicity 4)
Rb  0.0000  0.2970  0.2500 (multiplicity 8)
Te  0.2464  0.1138  0.0000 (multiplicity 8)
Au  0.0000  0.5000  0.0000 (multiplicity 4)

---

No. 14
DFT (PBE-GGA) results for a geometry-optimized DyCoAs structure.

Formation energy from the elements, kJ/mol of formula units: -162
V, Å³/atom: 20.02

a = 4.1643 Å, b = 10.2737 Å, c = 5.6166 Å
α = 90.00°, β = 90.00°, γ = 90.00°
Space group Cmcm (No. 63)
One atom of each set of equivalent atoms:
Dy  0.0000  0.1395  0.2500 (multiplicity 4)
Co  0.0000  0.4414  0.2500 (multiplicity 4)
As  0.0000  0.1486  0.7500 (multiplicity 4)

---

No. 15
DFT (PBE-GGA) results for a geometry-optimized CeThHgAu structure.

ΔE to the lowest computed polymorph, meV/atom: 26
Formation energy from the elements, kJ/mol of formula units: -146
V, Å³/atom: 26.75

a = 7.5359 Å, b = 7.5359 Å, c = 7.5359 Å
α = 90.00°, β = 90.00°, γ = 90.00°
Space group F-43m (No. 216)
One atom of each set of equivalent atoms:
Ce  0.0000  0.0000  0.0000 (multiplicity 4)
Th  0.0000  0.0000  0.5000 (multiplicity 4)
Hg  0.2500  0.2500  0.7500 (multiplicity 4)
Au  0.2500  0.2500  0.2500 (multiplicity 4)

---

No. 16
DFT (PBE-GGA) results for a geometry-optimized Ca3MgMn structure.

ΔE to the lowest computed polymorph, meV/atom: 339
Formation energy from the elements, kJ/mol of formula units: 376
V, Å³/atom: 41.38

a = 5.9145 Å, b = 5.9145 Å, c = 5.9145 Å
α = 90.00°, β = 90.00°, γ = 90.00°
Space group Pm-3m (No. 221)
One atom of each set of equivalent atoms:
Ca  0.0000  0.0000  0.5000 (multiplicity 3)
Mg  0.0000  0.0000  0.0000 (multiplicity 1)
Mn  0.5000  0.5000  0.5000 (multiplicity 1)

---

No. 17
DFT (PBE-GGA) results for a geometry-optimized CaErSc2 structure.

ΔE to the lowest computed polymorph, meV/atom: 1
Formation energy from the elements, kJ/mol of formula units: 54
V, Å³/atom: 29.27

a = 3.4411 Å, b = 3.4411 Å, c = 34.2553 Å
α = 90.00°, β = 90.00°, γ = 120.00°
Space group R3m (No. 160, hexagonal axes)
One atom of each set of equivalent atoms:
Ca  0.0000  0.0000  0.0000 (multiplicity 3)
Er  0.0000  0.0000  0.1660 (multiplicity 3)
Sc  0.0000  0.0000  0.5781 (multiplicity 3)
Sc  0.0000  0.0000  0.7541 (multiplicity 3)

---

No. 18
DFT (PBE-GGA) results for a geometry-optimized Ce2Ge4Mo structure.

Formation energy from the elements, kJ/mol of formula units: -307
V, Å³/atom: 21.78

a = 5.9448 Å, b = 6.3061 Å, c = 8.6196 Å
α = 90.00°, β = 109.32°, γ = 90.00°
Space group P2_1/m (No. 11)
One atom of each set of equivalent atoms:
Ce  0.1928  0.2500  0.4156 (multiplicity 2)
Ce  0.2800  0.7500  0.0445 (multiplicity 2)
Ge  0.2562  0.2500  0.0876 (multiplicity 2)
Ge  0.2654  0.7500  0.4238 (multiplicity 2)
Ge  0.3524  0.5490  0.7155 (multiplicity 4)
Mo  0.1386  0.2500  0.7827 (multiplicity 2)

---

No. 19
DFT (PBE-GGA) results for a geometry-optimized Ba2CeGeS5 structure.

Energy, eV/atom: -5.487
V, Å³/atom: 28.09

a = 4.4512 Å, b = 17.8367 Å, c = 12.7379 Å
α = 90.00°, β = 90.00°, γ = 90.00°
Space group Cmc2_1 (No. 36)
One atom of each set of equivalent atoms:
Ba  0.0000  0.1163  0.0000 (multiplicity 4)
Ba  0.0000  0.1251  0.6455 (multiplicity 4)
Ce  0.0000  0.2001  0.3394 (multiplicity 4)
Ge  0.0000  0.4501  0.7502 (multiplicity 4)
S  0.0000  0.0375  0.3193 (multiplicity 4)
S  0.0000  0.2989  0.9780 (multiplicity 4)
S  0.0000  0.3192  0.6906 (multiplicity 4)
S  0.0000  0.3508  0.3237 (multiplicity 4)
S  0.0000  0.4980  0.0855 (multiplicity 4)

---

No. 20
DFT (PBE-GGA) results for a geometry-optimized Ti4VIn3 structure.

Formation energy from the elements, kJ/mol of formula units: -94
V, Å³/atom: 18.25

a = 3.1674 Å, b = 3.1674 Å, c = 14.5492 Å
α = 90.00°, β = 90.00°, γ = 90.00°
Space group P4/mmm (No. 123)
One atom of each set of equivalent atoms:
Ti  0.0000  0.0000  0.0972 (multiplicity 2)
Ti  0.0000  0.0000  0.3650 (multiplicity 2)
V  0.5000  0.5000  0.0000 (multiplicity 1)
In  0.5000  0.5000  0.2319 (multiplicity 2)
In  0.5000  0.5000  0.5000 (multiplicity 1)

---

No. 21
DFT (PBE-GGA) results for a geometry-optimized Th4SiRuSe2 structure.

Energy, eV/atom: -7.498
V, Å³/atom: 26.93

a = 7.4059 Å, b = 4.1358 Å, c = 7.4165 Å
α = 90.00°, β = 108.47°, γ = 90.00°
Space group P2/m (No. 10)
One atom of each set of equivalent atoms:
Th  0.2308  0.0000  0.2212 (multiplicity 2)
Th  0.2495  0.5000  0.7691 (multiplicity 2)
Si  0.5000  0.0000  0.0000 (multiplicity 1)
Ru  0.0000  0.5000  0.0000 (multiplicity 1)
Se  0.0000  0.0000  0.5000 (multiplicity 1)
Se  0.5000  0.5000  0.5000 (multiplicity 1)

---

No. 22
DFT (PBE-GGA) results for a geometry-optimized NdMgRhPb structure.

Formation energy from the elements, kJ/mol of formula units: -124
V, Å³/atom: 22.96

a = 7.1617 Å, b = 7.1617 Å, c = 7.1617 Å
α = 90.00°, β = 90.00°, γ = 90.00°
Space group F-43m (No. 216)
One atom of each set of equivalent atoms:
Nd  0.0000  0.0000  0.0000 (multiplicity 4)
Mg  0.0000  0.0000  0.5000 (multiplicity 4)
Rh  0.2500  0.2500  0.7500 (multiplicity 4)
Pb  0.2500  0.2500  0.2500 (multiplicity 4)

---

No. 23
DFT (PBE-GGA) results for a geometry-optimized ScIr2Ru structure.

ΔE to the lowest computed polymorph, meV/atom: 218
Formation energy from the elements, kJ/mol of formula units: -87
V, Å³/atom: 15.47

a = 2.9549 Å, b = 4.5620 Å, c = 4.5889 Å
α = 90.00°, β = 90.00°, γ = 90.00°
Space group Pmmm (No. 47)
One atom of each set of equivalent atoms:
Sc  0.0000  0.0000  0.0000 (multiplicity 1)
Ir  0.0000  0.5000  0.5000 (multiplicity 1)
Ir  0.5000  0.0000  0.5000 (multiplicity 1)
Ru  0.5000  0.5000  0.0000 (multiplicity 1)

---

No. 24
DFT (PBE-GGA) results for a geometry-optimized Tb4PtPbSe2 structure.

Energy, eV/atom: -5.668
V, Å³/atom: 26.46

a = 7.1689 Å, b = 4.0660 Å, c = 7.6516 Å
α = 90.00°, β = 108.37°, γ = 90.00°
Space group P2/m (No. 10)
One atom of each set of equivalent atoms:
Tb  0.2252  0.0000  0.2396 (multiplicity 2)
Tb  0.2343  0.5000  0.7362 (multiplicity 2)
Pt  0.0000  0.5000  0.0000 (multiplicity 1)
Pb  0.5000  0.0000  0.0000 (multiplicity 1)
Se  0.0000  0.0000  0.5000 (multiplicity 1)
Se  0.5000  0.5000  0.5000 (multiplicity 1)

---

No. 25
DFT (PBE-GGA) results for a geometry-optimized CaReRh2 structure.

ΔE to the lowest computed polymorph, meV/atom: 149
Formation energy from the elements, kJ/mol of formula units: 33
V, Å³/atom: 16.50

a = 10.1117 Å, b = 2.8136 Å, c = 4.7903 Å
α = 90.00°, β = 104.36°, γ = 90.00°
Space group Cm (No. 8)
One atom of each set of equivalent atoms:
Ca  0.0000  0.0000  0.0000 (multiplicity 2)
Re  0.2879  0.5000  0.3737 (multiplicity 2)
Rh  0.0173  0.5000  0.5004 (multiplicity 2)
Rh  0.2411  0.0000  0.8477 (multiplicity 2)